(1)
{
  "formula": "Li5Bi4Au",
  "functional": "PBE",
  "state": "relaxed",
  "cell": [[3.348, 0.000, 0.000], [0.000, 3.348, 0.000], [0.000, 0.000, 19.821]],
  "species": ["Bi", "Li", "Bi", "Bi", "Li", "Au", "Li", "Li", "Li", "Bi"],
  "fractional_positions": [[0.000, 0.000, 0.392], [0.500, 0.500, 0.500], [0.000, 0.000, 0.608], [0.000, 0.000, 0.178], [0.500, 0.500, 0.286], [0.000, 0.000, 0.000], [0.500, 0.500, 0.926], [0.500, 0.500, 0.074], [0.500, 0.500, 0.714], [0.000, 0.000, 0.822]],
  "ef_ev_per_atom": -0.40,
  "sg": "No. 123",
  "final_energy_ev_per_cell": -32.400
}

---

(2)
{
  "formula": "LiBi3Au",
  "functional": "PBE",
  "state": "relaxed",
  "cell": [[-2.231, -1.653, -4.307], [-0.251, -4.733, 1.947], [-4.606, 1.058, 1.980]],
  "species": ["Li", "Bi", "Bi", "Au", "Bi"],
  "fractional_positions": [[0.000, 0.000, 0.000], [0.000, 0.000, 0.500], [0.500, 0.000, 0.000], [0.500, 0.500, 0.500], [0.000, 0.500, 0.000]],
  "ef_ev_per_atom": 0.31,
  "sg": "No. 221",
  "final_energy_ev_per_cell": -15.272
}

---

(3)
{
  "formula": "Li2BiAu3",
  "functional": "PBE",
  "state": "relaxed",
  "cell": [[-2.485, 2.875, 4.083], [3.613, -4.062, 1.249], [3.223, 2.852, -0.047]],
  "species": ["Au", "Li", "Bi", "Au", "Li", "Au"],
  "fractional_positions": [[0.500, 0.500, 0.000], [0.333, 0.667, 0.500], [0.000, 0.000, 0.500], [0.000, 0.500, 0.000], [0.667, 0.333, 0.500], [0.500, 0.000, 0.000]],
  "ef_ev_per_atom": -0.31,
  "sg": "No. 191",
  "final_energy_ev_per_cell": -19.409
}

---

(4)
{
  "formula": "Li4Bi2Au",
  "functional": "PBE",
  "state": "relaxed",
  "cell": [[7.222, -0.104, 0.181], [-2.504, 6.774, -0.181], [-2.213, -3.438, 5.956]],
  "species": ["Bi", "Li", "Li", "Li", "Bi", "Bi", "Li", "Au", "Au", "Li", "Bi", "Li", "Li", "Li"],
  "fractional_positions": [[0.375, 0.849, 0.724], [0.662, 0.753, 0.052], [0.802, 0.253, 0.912], [0.659, 0.747, 0.549], [0.474, 0.349, 0.625], [0.875, 0.151, 0.526], [0.948, 0.610, 0.701], [0.750, 0.500, 0.250], [0.000, 0.000, 0.000], [0.451, 0.110, 0.198], [0.276, 0.651, 0.125], [0.299, 0.247, 0.909], [0.088, 0.890, 0.341], [0.091, 0.390, 0.338]],
  "ef_ev_per_atom": -0.35,
  "sg": "No. 122",
  "final_energy_ev_per_cell": -42.345
}

---

(5)
{
  "formula": "LiBi2Au",
  "functional": "PBE",
  "state": "relaxed",
  "cell": [[-0.555, -3.787, -2.647], [3.386, -3.182, -0.248], [-1.355, -5.118, 3.515]],
  "species": ["Bi", "Li", "Bi", "Au"],
  "fractional_positions": [[0.076, 0.076, 0.772], [0.501, 0.501, 0.497], [0.259, 0.259, 0.224], [0.665, 0.665, 0.006]],
  "ef_ev_per_atom": -0.16,
  "sg": "No. 160",
  "final_energy_ev_per_cell": -13.589
}

---

(6)
{
  "formula": "Li6BiAu2",
  "functional": "PBE",
  "state": "relaxed",
  "cell": [[-3.292, 2.508, 3.392], [2.409, -2.770, 3.906], [3.634, 3.938, 0.136]],
  "species": ["Li", "Li", "Li", "Li", "Bi", "Li", "Li", "Au", "Au"],
  "fractional_positions": [[0.172, 0.828, 0.500], [0.500, 0.828, 0.172], [0.828, 0.500, 0.172], [0.172, 0.500, 0.828], [0.000, 0.000, 0.000], [0.500, 0.172, 0.828], [0.828, 0.172, 0.500], [0.340, 0.342, 0.342], [0.660, 0.658, 0.658]],
  "ef_ev_per_atom": -0.41,
  "sg": "No. 166",
  "final_energy_ev_per_cell": -25.650
}

---

(7)
{
  "formula": "Li8Bi2Au",
  "functional": "PBE",
  "state": "relaxed",
  "cell": [[4.772, 0.000, 0.000], [0.000, 6.411, -0.203], [-2.386, -2.987, 7.057]],
  "species": ["Li", "Li", "Li", "Li", "Li", "Au", "Li", "Bi", "Li", "Li", "Bi"],
  "fractional_positions": [[0.352, 0.112, 0.704], [0.648, 0.888, 0.296], [0.352, 0.592, 0.703], [0.822, 0.822, 0.643], [0.178, 0.178, 0.357], [0.500, 0.000, 0.000], [0.648, 0.408, 0.297], [0.175, 0.675, 0.350], [0.000, 0.247, 0.000], [0.000, 0.753, 0.000], [0.825, 0.325, 0.650]],
  "ef_ev_per_atom": -0.47,
  "sg": "No. 71",
  "final_energy_ev_per_cell": -31.507
}

---

(8)
{
  "formula": "Li3BiAu2",
  "functional": "PBE",
  "state": "relaxed",
  "cell": [[-0.737, -2.151, 3.131], [-0.880, -3.349, -2.509], [12.466, -3.614, 0.450]],
  "species": ["Bi", "Li", "Li", "Li", "Au", "Li", "Li", "Bi", "Au", "Li", "Au", "Au"],
  "fractional_positions": [[0.999, 0.000, 0.000], [0.500, 0.000, 0.176], [0.500, 0.000, 0.824], [0.500, 0.500, 0.676], [0.000, 0.500, 0.827], [0.501, 0.000, 0.500], [0.499, 0.500, 0.000], [0.001, 0.500, 0.500], [0.000, 0.000, 0.673], [0.500, 0.500, 0.324], [0.000, 0.500, 0.173], [0.000, 0.000, 0.327]],
  "ef_ev_per_atom": -0.44,
  "sg": "No. 65",
  "final_energy_ev_per_cell": -37.653
}

---

(9)
{
  "formula": "LiBiAu",
  "functional": "PBE",
  "state": "relaxed",
  "cell": [[3.499, 0.000, 0.000], [0.000, 4.835, 0.000], [0.000, -2.418, 4.187]],
  "species": ["Bi", "Au", "Li"],
  "fractional_positions": [[0.186, 0.333, 0.667], [0.101, 0.000, 0.000], [0.713, 0.667, 0.333]],
  "ef_ev_per_atom": -0.28,
  "sg": "No. 156",
  "final_energy_ev_per_cell": -9.902
}

---

(10)
{
  "formula": "LiBi2Au",
  "functional": "PBE",
  "state": "relaxed",
  "cell": [[-0.391, 3.272, -3.329], [-1.100, -3.311, -3.125], [-10.221, 1.069, -1.043]],
  "species": ["Li", "Bi", "Au", "Au", "Bi", "Li", "Bi", "Bi"],
  "fractional_positions": [[0.250, 0.750, 0.500], [0.625, 0.125, 0.250], [0.750, 0.250, 0.500], [0.000, 0.000, 0.000], [0.375, 0.375, 0.750], [0.500, 0.500, 0.000], [0.875, 0.875, 0.750], [0.125, 0.625, 0.250]],
  "ef_ev_per_atom": -0.11,
  "sg": "No. 122",
  "final_energy_ev_per_cell": -26.755
}

---

(11)
{
  "formula": "Li6BiAu",
  "functional": "PBE",
  "state": "relaxed",
  "cell": [[-3.476, 2.745, -1.688], [-3.879, -4.424, 0.794], [0.972, 3.911, 4.360]],
  "species": ["Li", "Bi", "Li", "Au", "Li", "Li", "Li", "Li"],
  "fractional_positions": [[0.500, 0.923, 0.077], [0.500, 0.417, 0.583], [0.000, 0.091, 0.421], [0.000, 0.083, 0.917], [0.000, 0.580, 0.420], [0.500, 0.924, 0.597], [0.000, 0.579, 0.909], [0.500, 0.403, 0.076]],
  "ef_ev_per_atom": -0.40,
  "sg": "No. 187",
  "final_energy_ev_per_cell": -21.868
}

---

(12)
{
  "formula": "Li2BiAu9",
  "functional": "PBE",
  "state": "relaxed",
  "cell": [[4.152, 0.000, 0.000], [0.000, 4.152, 0.000], [0.000, 0.000, 12.815]],
  "species": ["Au", "Au", "Au", "Li", "Li", "Au", "Au", "Au", "Au", "Au", "Bi", "Au"],
  "fractional_positions": [[0.000, 0.500, 0.811], [0.500, 0.500, 0.000], [0.000, 0.500, 0.500], [0.000, 0.000, 0.657], [0.000, 0.000, 0.343], [0.500, 0.500, 0.345], [0.000, 0.500, 0.189], [0.500, 0.000, 0.811], [0.500, 0.500, 0.655], [0.500, 0.000, 0.500], [0.000, 0.000, 0.000], [0.500, 0.000, 0.189]],
  "ef_ev_per_atom": -0.20,
  "sg": "No. 123",
  "final_energy_ev_per_cell": -39.651
}